VASP calculation (GGA-PBE) on a relaxed BaSc2Ta crystal.

DOS(E_F) = 6.2 states/eV/cell
energy above the lowest structure with this stoichiometry = 32.6 kJ/mol of atoms
DFT formation energy = 0.6819 eV/atom
calculated volume = 25.1 Å³/atom
space-group type = Cmmm

abc: 5.702 7.405 3.268
angles: 63.72 90.05 121.50
Fractional positions:
Ta (0.500, 0.500, 0.000)
Ba (0.500, 0.000, 0.500)
Sc (0.000, 0.500, 0.500)
Sc (0.000, 0.000, 0.000)

---

VASP calculation (GGA-PBE) on a relaxed Sm2Cu5Ni crystal.

DOS(E_F) = 9.5 states/eV/cell
DFT formation energy = -0.1691 eV/atom
calculated volume = 17.2 Å³/atom
space-group type = Cmcm

abc: 4.061 7.923 8.860
angles: 90.00 90.00 104.85
Fractional positions:
Sm (0.000, 0.000, 0.500)
Cu (0.184, 0.367, 0.613)
Cu (0.651, 0.302, 0.021)
Sm (0.000, 0.000, 0.000)
Sm (0.197, 0.393, 0.250)
Cu (0.349, 0.698, 0.979)
Cu (0.651, 0.302, 0.479)
Cu (0.816, 0.633, 0.387)
Cu (0.816, 0.633, 0.113)
Sm (0.803, 0.607, 0.750)
Ni (0.560, 0.120, 0.250)
Cu (0.184, 0.367, 0.887)
Ni (0.440, 0.880, 0.750)
Cu (0.349, 0.698, 0.521)
Cu (0.600, 0.201, 0.750)
Cu (0.400, 0.799, 0.250)

---

VASP calculation (GGA-PBE) on a relaxed BeWCl2 crystal.

DOS(E_F) = 1.3 states/eV/cell
energy above the lowest structure with this stoichiometry = 65.4 kJ/mol of atoms
calculated volume = 17.7 Å³/atom
space-group type = R-3m

abc: 9.247 9.247 9.247
angles: 18.68 18.68 18.68
Fractional positions:
Be (0.000, 0.000, 0.000)
W (0.500, 0.500, 0.500)
Cl (0.100, 0.100, 0.100)
Cl (0.900, 0.900, 0.900)

---

VASP calculation (GGA-PBE) on a relaxed BaSm2Pt crystal.

DOS(E_F) = 4.4 states/eV/cell
energy above the lowest structure with this stoichiometry = 12.0 kJ/mol of atoms
DFT formation energy = -0.4054 eV/atom
calculated volume = 41.7 Å³/atom
space-group type = R-3m

abc: 4.186 4.186 11.250
angles: 79.28 79.28 60.00
Fractional positions:
Ba (0.000, 0.000, 0.000)
Pt (0.500, 0.500, 0.500)
Sm (0.121, 0.121, 0.637)
Sm (0.879, 0.879, 0.363)

---

VASP calculation (GGA-PBE) on a relaxed Zn2CdRe crystal.

DOS(E_F) = 2.9 states/eV/cell
DFT formation energy = 0.3258 eV/atom
calculated volume = 16.3 Å³/atom
space-group type = R3m

abc: 9.474 9.474 9.474
angles: 17.22 17.22 17.22
Fractional positions:
Zn (0.001, 0.001, 0.001)
Cd (0.500, 0.500, 0.500)
Zn (0.256, 0.256, 0.256)
Re (0.744, 0.744, 0.744)

---

VASP calculation (GGA-PBE) on a relaxed Tb2Ho2S3 crystal.

DOS(E_F) = 3.2 states/eV/cell
calculated volume = 23.2 Å³/atom
space-group type = C2/m

abc: 3.849 6.705 6.686
angles: 99.63 106.73 90.00
Fractional positions:
S (0.748, 0.245, 0.496)
Ho (0.374, 0.123, 0.747)
Tb (0.125, 0.379, 0.249)
Ho (0.626, 0.877, 0.253)
S (0.252, 0.755, 0.504)
Tb (0.875, 0.621, 0.751)
S (0.000, 0.000, 0.000)

---

Respective electronic total energy values: -5.928; -4.632; -4.594; -4.756; -3.652; -6.107 eV per atom.